Entry one
## InPd2C (PBE)

Data for a relaxed structure of InPd2C.

- Crystal system: cubic

Cell lengths 6.2230, 6.2230, 6.2230 Å; angles 90.00, 90.00, 90.00 degrees
With the nearest neighbours (Å) after each atom.
Space group Fm-3m (No. 225)
Symmetry-distinct sites (fractional):
In 0.0000 0.0000 0.0000 x4  8 Pd 2.69
Pd 0.2500 0.2500 0.2500 x8  4 In 2.69, 4 C 2.69
C 0.0000 0.0000 0.5000 x4  8 Pd 2.69

Entry two
## InPd2C (PBE)

Data for a relaxed structure of InPd2C.

- Crystal system: orthorhombic

Cell lengths 3.9888, 3.9997, 8.5006 Å; angles 90.00, 90.00, 90.00 degrees
With the nearest neighbours (Å) after each atom.
Space group Imm2 (No. 44)
Symmetry-distinct sites (fractional):
In 0.0000 0.0000 0.0000 x2  1 C 2.36
Pd 0.0000 0.0000 0.5100 x2  1 C 1.97
Pd 0.0000 0.5000 0.2608 x2  2 C 2.01
C 0.0000 0.0000 0.2780 x2  3 Pd 1.97-2.01

Entry three
## InPd2C (PBE)

Data for a relaxed structure of InPd2C.

- Crystal system: triclinic

Cell lengths 5.3199, 5.3952, 5.5848 Å; angles 117.64, 108.39, 96.01 degrees
With the nearest neighbours (Å) after each atom.
Space group P1 (No. 1)
Symmetry-distinct sites (fractional):
In 0.0000 0.0000 0.0000 x1  5 Pd 2.69-3.01
In 0.4677 0.2609 0.7629 x1  1 C 2.27
Pd 0.0495 0.4912 0.9804 x1  2 C 2.06-2.11
Pd 0.1502 0.5915 0.5628 x1  2 C 2.10-2.11
Pd 0.5596 0.4550 0.3573 x1  2 C 2.06-2.09
Pd 0.5951 0.8821 0.1829 x1  2 C 2.01-2.17
C 0.3696 0.7845 0.4067 x1  4 Pd 2.09-2.17, 1 In 2.27
C 0.8427 0.2830 0.5261 x1  4 Pd 2.01-2.10

Pick entry three: it beats the second-best structure by 0.052 eV/atom.